Compound: PmDyTm2S6
Source: Alexandria
Functional: PBE-GGA
Structure: relaxed

Properties
E_form (uncorrected) (eV/atom): -2.05
SG: R3
V (Å³/f.u.): 254.7
M_tot (μB per cell): 0.00

abc: 6.9176 6.9176 7.3293
angles: 61.84 61.84 59.99
Atoms (fractional coordinates):
Pm 0.8106 0.8106 0.5682
Dy 0.3149 0.3148 0.0554
Tm 0.5163 0.5162 0.4513
Tm 0.0138 0.0139 0.9586
S 0.6194 0.2261 0.2461
S 0.2260 0.9083 0.2461
S 0.9084 0.6195 0.2461
S 0.3959 0.7242 0.7478
S 0.7242 0.1321 0.7478
S 0.1322 0.3959 0.7478